DFT (GGA-PBEsol) results for an optimized crystal structure of Nd7Se4Cl3O17.

Results
Formation energy (no corrections)   -2403 meV per atom
Fermi-level density of states   0.0 states/eV/f.u.
Space group   P-1, No. 2

Cell and atoms, written as POSCAR:
```
Nd7Se4Cl3O17
1.0
-4.8154 -2.0890 -4.5069
-6.3344 -2.1386 6.5505
-7.3303 13.6610 -1.8910
Nd Se Cl O
14 8 6 34
Direct
0.8724 0.1631 0.5456
0.1276 0.8369 0.4544
0.6164 0.1618 0.8094
0.3836 0.8382 0.1906
0.6208 0.9936 0.3662
0.3792 0.0064 0.6338
0.8663 0.9978 0.1282
0.1337 0.0022 0.8718
0.3702 0.1642 0.0521
0.6298 0.8358 0.9479
0.8714 0.8434 0.6912
0.1286 0.1566 0.3088
0.8285 0.6367 0.2533
0.1715 0.3633 0.7467
0.6532 0.2901 0.2338
0.3468 0.7099 0.7662
0.6348 0.7048 0.4962
0.3652 0.2952 0.5038
0.7111 0.4508 0.6663
0.2889 0.5492 0.3337
0.1140 0.7025 0.0396
0.8860 0.2975 0.9604
0.8463 0.4027 0.3774
0.1537 0.5973 0.6226
0.7135 0.6042 0.0825
0.2865 0.3958 0.9175
0.8769 0.6034 0.8287
0.1231 0.3966 0.1713
0.6917 0.8677 0.2371
0.3083 0.1323 0.7629
0.5791 0.9592 0.0752
0.4209 0.0408 0.9248
0.6888 0.0526 0.6646
0.3112 0.9474 0.3354
0.8114 0.9553 0.8311
0.1886 0.0447 0.1689
0.0783 0.9668 0.5832
0.9217 0.0332 0.4168
0.6183 0.2255 0.1371
0.3817 0.7745 0.8629
0.4615 0.2331 0.3051
0.5385 0.7669 0.6949
0.8187 0.1458 0.2570
0.1813 0.8542 0.7430
0.8148 0.7695 0.5457
0.1852 0.2305 0.4543
0.7421 0.7438 0.3922
0.2579 0.2562 0.6078
0.4626 0.8552 0.5025
0.5374 0.1448 0.4975
0.6724 0.3907 0.5695
0.3276 0.6093 0.4305
0.5119 0.3995 0.7370
0.4881 0.6005 0.2630
0.8771 0.3106 0.6921
0.1229 0.6894 0.3079
0.3390 0.7626 0.0382
0.6610 0.2374 0.9618
0.0429 0.7571 0.1462
0.9571 0.2429 0.8538
0.9849 0.8476 0.9916
0.0151 0.1524 0.0084
```

DFT (GGA-PBEsol) results for an optimized crystal structure of NdSeClO3.

Results
Formation energy (no corrections)   -2008 meV per atom
Fermi-level density of states   0.0 states/eV/f.u.
Space group   Pnma, No. 62

Cell and atoms, written as POSCAR:
```
NdSeClO3
1.0
-1.8970 2.7734 -4.1471
-10.0271 -4.4928 1.5821
-3.2268 10.0998 8.2303
Nd Se Cl O
8 8 8 24
Direct
0.7500 0.0722 0.6445
0.2500 0.5704 0.3995
0.7500 0.4296 0.6005
0.7500 0.5722 0.8555
0.7500 0.9296 0.8995
0.2500 0.0704 0.1005
0.2500 0.4278 0.1445
0.2500 0.9278 0.3555
0.2500 0.2597 0.5300
0.7500 0.2403 0.0300
0.2500 0.7597 0.9700
0.7500 0.3441 0.3154
0.2500 0.6559 0.6846
0.7500 0.7403 0.4700
0.2500 0.1559 0.8154
0.7500 0.8441 0.1846
0.7500 0.3310 0.8017
0.2500 0.1690 0.3017
0.2500 0.6690 0.1983
0.7500 0.0134 0.4318
0.2500 0.4866 0.9318
0.7500 0.5134 0.0682
0.2500 0.9866 0.5682
0.7500 0.8310 0.6983
0.7500 0.8370 0.0589
0.2500 0.9169 0.9724
0.9989 0.4423 0.2922
0.7500 0.3370 0.4411
0.5011 0.4423 0.2922
0.7500 0.0831 0.0276
0.2500 0.4169 0.5276
0.9964 0.7557 0.3875
0.0036 0.2443 0.6125
0.0011 0.0577 0.7922
0.4989 0.0577 0.7922
0.4964 0.2443 0.6125
0.2500 0.6630 0.5589
0.7500 0.5831 0.4724
0.4964 0.7443 0.8875
0.0036 0.7443 0.8875
0.5011 0.9423 0.2078
0.0011 0.5577 0.7078
0.5036 0.2557 0.1125
0.9989 0.9423 0.2078
0.2500 0.1630 0.9411
0.9964 0.2557 0.1125
0.4989 0.5577 0.7078
0.5036 0.7557 0.3875
```

DFT (GGA-PBEsol) results for an optimized crystal structure of Nd3TaCl6O4.

Results
Formation energy (no corrections)   -2698 meV per atom
Fermi-level density of states   0.0 states/eV/f.u.
Space group   P6_3/m, No. 176

Cell and atoms, written as POSCAR:
```
Nd3TaCl6O4
1.0
-2.4632 -1.3698 -2.7263
9.5972 -1.1446 -8.0961
-3.0386 -9.6106 7.5741
Nd Ta Cl O
6 2 12 8
Direct
0.7500 0.8870 0.2805
0.2500 0.1130 0.7195
0.7500 0.7195 0.6065
0.2500 0.2805 0.3935
0.7500 0.3935 0.1130
0.2500 0.6065 0.8870
0.7500 0.3333 0.6667
0.2500 0.6667 0.3333
0.7500 0.6284 0.0716
0.2500 0.3716 0.9284
0.7500 0.9284 0.5568
0.2500 0.0716 0.4432
0.7500 0.4432 0.3716
0.2500 0.5568 0.6284
0.7500 0.1000 0.2452
0.2500 0.9000 0.7548
0.7500 0.7548 0.8548
0.2500 0.2452 0.1452
0.7500 0.1452 0.9000
0.2500 0.8548 0.1000
0.7500 0.3067 0.5050
0.2500 0.6933 0.4950
0.7500 0.4950 0.8017
0.2500 0.5050 0.1983
0.7500 0.1983 0.6933
0.2500 0.8017 0.3067
0.7500 0.6667 0.3333
0.2500 0.3333 0.6667
```

DFT (GGA-PBEsol) results for an optimized crystal structure of Nd3TaCl3O6.

Results
Formation energy (no corrections)   -2873 meV per atom
Fermi-level density of states   6.6 states/eV/f.u.
Space group   P6_3/m, No. 176

Cell and atoms, written as POSCAR:
```
Nd3TaCl3O6
1.0
-5.0911 -1.2566 0.0444
2.2364 -9.0471 0.3848
-1.1318 4.8635 7.8782
Nd Ta Cl O
6 2 6 12
Direct
0.2500 0.9085 0.5978
0.7500 0.0915 0.4022
0.2500 0.6893 0.0915
0.7500 0.3107 0.9085
0.2500 0.4022 0.3107
0.7500 0.5978 0.6893
0.2500 0.3333 0.6667
0.7500 0.6667 0.3333
0.2500 0.7608 0.8130
0.7500 0.2392 0.1870
0.2500 0.0522 0.2392
0.7500 0.9478 0.7608
0.2500 0.1870 0.9478
0.7500 0.8130 0.0522
0.4897 0.4814 0.8436
0.5103 0.5186 0.1564
0.4897 0.3622 0.5186
0.9897 0.5186 0.1564
0.5103 0.6378 0.4814
0.0103 0.4814 0.8436
0.4897 0.1564 0.6378
0.9897 0.6378 0.4814
0.5103 0.8436 0.3622
0.0103 0.3622 0.5186
0.9897 0.8436 0.3622
0.0103 0.1564 0.6378
```

DFT (GGA-PBEsol) results for an optimized crystal structure of Nd3WCl3O6.

Results
Formation energy (no corrections)   -2858 meV per atom
Fermi-level density of states   0.0 states/eV/f.u.
Space group   P6_3/m, No. 176

Cell and atoms, written as POSCAR:
```
Nd3WCl3O6
1.0
5.3148 0.0000 0.0000
0.0000 9.2104 0.0000
0.0000 -4.6052 7.9765
Nd W Cl O
6 2 6 12
Direct
0.7500 0.4037 0.0916
0.2500 0.5963 0.9084
0.7500 0.9084 0.3121
0.2500 0.0916 0.6879
0.7500 0.6879 0.5963
0.2500 0.3121 0.4037
0.7500 0.3333 0.6667
0.2500 0.6667 0.3333
0.7500 0.1906 0.2398
0.2500 0.8094 0.7602
0.7500 0.7602 0.9508
0.2500 0.2398 0.0492
0.7500 0.0492 0.8094
0.2500 0.9508 0.1906
0.5168 0.1598 0.5223
0.4832 0.8402 0.4777
0.5168 0.4777 0.6375
0.0168 0.8402 0.4777
0.4832 0.5223 0.3625
0.9832 0.1598 0.5223
0.5168 0.3625 0.8402
0.0168 0.5223 0.3625
0.4832 0.6375 0.1598
0.9832 0.4777 0.6375
0.0168 0.6375 0.1598
0.9832 0.3625 0.8402
```

DFT (GGA-PBEsol) results for an optimized crystal structure of Nd3S2Cl5.

Results
Formation energy (no corrections)   -2240 meV per atom
Fermi-level density of states   0.0 states/eV/f.u.
Space group   P2_1/c, No. 14

Cell and atoms, written as POSCAR:
```
Nd3S2Cl5
1.0
6.5157 0.0000 0.0000
0.0000 7.0130 0.0004
0.0000 -2.9822 21.3566
Nd S Cl
12 8 20
Direct
0.0430 0.3365 0.9003
0.4551 0.7059 0.5962
0.9570 0.6635 0.0997
0.4575 0.3611 0.7496
0.4570 0.8365 0.9003
0.9575 0.1389 0.2504
0.0425 0.8611 0.7496
0.5425 0.6389 0.2504
0.0449 0.2059 0.5962
0.5449 0.2941 0.4038
0.5430 0.1635 0.0997
0.9551 0.7941 0.4038
0.6857 0.9004 0.1735
0.8143 0.4004 0.1735
0.6865 0.9649 0.3315
0.3135 0.0351 0.6685
0.1865 0.5351 0.6685
0.1857 0.5996 0.8265
0.8135 0.4649 0.3315
0.3143 0.0996 0.8265
0.2721 0.3969 0.5116
0.2279 0.8969 0.5116
0.1334 0.7692 0.2441
0.7721 0.1031 0.4884
0.6491 0.4767 0.8806
0.1801 0.6593 0.9821
0.8509 0.9767 0.8806
0.3509 0.5233 0.1194
0.3666 0.2692 0.2441
0.3313 0.6165 0.3727
0.8313 0.8835 0.6273
0.6334 0.7308 0.7559
0.3199 0.1593 0.9821
0.6801 0.8407 0.0179
0.8199 0.3407 0.0179
0.6687 0.3835 0.6273
0.7279 0.6031 0.4884
0.8666 0.2308 0.7559
0.1687 0.1165 0.3727
0.1491 0.0233 0.1194
```

DFT (GGA-PBEsol) results for an optimized crystal structure of Nd7S6Cl9.

Results
Formation energy (no corrections)   -2190 meV per atom
Fermi-level density of states   0.0 states/eV/f.u.
Space group   P2/c, No. 13

Cell and atoms, written as POSCAR:
```
Nd7S6Cl9
1.0
-3.1710 0.8574 -5.7609
-6.0255 0.1621 3.3407
4.8193 23.6027 0.8600
Nd S Cl
14 12 18
Direct
0.2859 0.7500 0.0000
0.6963 0.8793 0.1437
0.2805 0.5090 0.4237
0.7141 0.2500 0.0000
0.3037 0.3793 0.1437
0.3045 0.6371 0.7147
0.7195 0.0090 0.4237
0.6955 0.3629 0.2853
0.3045 0.8629 0.2853
0.6955 0.1371 0.7147
0.2805 0.9910 0.5763
0.3037 0.1207 0.8563
0.7195 0.4910 0.5763
0.6963 0.6207 0.8563
0.5553 0.6190 0.2174
0.5378 0.9251 0.9285
0.4447 0.3810 0.7826
0.5378 0.5749 0.0715
0.4622 0.4251 0.9285
0.5542 0.8113 0.6390
0.4458 0.1887 0.3610
0.4622 0.0749 0.0715
0.4458 0.3113 0.6390
0.4447 0.1190 0.2174
0.5542 0.6887 0.3610
0.5553 0.8810 0.7826
0.0659 0.7298 0.1904
0.9341 0.2702 0.8096
0.1169 0.6111 0.5551
0.9194 0.0363 0.3220
0.9194 0.4637 0.6780
0.0441 0.4448 0.0599
0.4455 0.2500 0.5000
0.8831 0.3889 0.4449
0.9559 0.5552 0.9401
0.1169 0.8889 0.4449
0.0806 0.5363 0.3220
0.5545 0.7500 0.5000
0.8831 0.1111 0.5551
0.0806 0.9637 0.6780
0.0441 0.0552 0.9401
0.0659 0.7702 0.8096
0.9559 0.9448 0.0599
0.9341 0.2298 0.1904
```

DFT (GGA-PBEsol) results for an optimized crystal structure of NdTeCl.

Results
Formation energy (no corrections)   -1864 meV per atom
Fermi-level density of states   0.0 states/eV/f.u.
Space group   P4/nmm, No. 129

Cell and atoms, written as POSCAR:
```
NdTeCl
1.0
4.3992 0.0000 0.0000
0.0000 4.3992 0.0000
0.0000 0.0000 8.1305
Te Nd Cl
2 2 2
Direct
0.0000 0.5000 0.3662
0.5000 0.0000 0.6338
0.0000 0.5000 0.7623
0.5000 0.0000 0.2377
0.0000 0.0000 0.0000
0.5000 0.5000 0.0000
```